No. 1
Density functional theory data (SCAN) for a crystal of Mg2BeCd relaxed with PBEsol.

Results
**Energy above the most stable polymorph in this dataset**: 116.2 meV per atom
**Volume**: 74.2 Å³/cell
**Raw total energy**: -10.9337 eV per atom
**ΔH_f (0 K)**: 0.25 eV/atom
**SG**: R3m (160)

Cell: 3.0562 3.0562 9.3428 Å, 80.59 80.59 60.00°
Element x y z (fractional)
Be 0.5021 0.5021 0.4938
Mg 0.9977 0.9977 0.0068
Mg 0.7608 0.7608 0.7175
Cd 0.2394 0.2394 0.2819

No. 2
Density functional theory data (SCAN) for a crystal of Rb3MgBe relaxed with PBEsol.

Results
**Volume**: 346.9 Å³/cell
**Raw total energy**: -13.4060 eV per atom
**ΔH_f (0 K)**: 0.90 eV/atom
**SG**: Pm-3m (221)

Cell: 7.0261 7.0261 7.0261 Å, 90.00 90.00 90.00°
Element x y z (fractional)
Be 0.5000 0.5000 0.5000
Mg 0.0000 0.0000 0.0000
Rb 0.0000 0.5000 0.0000
Rb 0.0000 0.0000 0.5000
Rb 0.5000 0.0000 0.0000

No. 3
Density functional theory data (SCAN) for a crystal of ScAsRh relaxed with PBEsol.

Results
**Volume**: 48.4 Å³/cell
**Raw total energy**: -23.4792 eV per atom
**ΔH_f (0 K)**: -0.75 eV/atom
**SG**: I4mm (107)

Cell: 3.0820 3.0820 5.5458 Å, 106.13 106.13 90.00°
Element x y z (fractional)
As 0.0151 0.0151 0.0302
Rh 0.6531 0.6531 0.3062
Sc 0.3318 0.3318 0.6636

No. 4
Density functional theory data (SCAN) for a crystal of MgBP2O relaxed with PBEsol.

Results
**Energy above the most stable polymorph in this dataset**: 0.0 meV per atom
**Volume**: 67.2 Å³/cell
**Raw total energy**: -8.0260 eV per atom
**Energy relative to the elements, uncorrected**: -140 meV/atom
**SG**: P4/mmm (123)

Cell: 5.0041 5.0041 2.6855 Å, 90.00 90.00 90.00°
Element x y z (fractional)
P 0.0000 0.5000 0.0000
P 0.5000 0.0000 0.0000
Mg 0.5000 0.5000 0.5000
B 0.0000 0.0000 0.0000
O 0.0000 0.0000 0.5000

No. 5
Density functional theory data (SCAN) for a crystal of Co2HgTe2 relaxed with PBEsol.

Results
**Volume**: 107.8 Å³/cell
**Raw total energy**: -35.4341 eV per atom
**Energy relative to the elements, uncorrected**: 21 meV/atom
**SG**: I4/mmm (139)

Cell: 3.6660 3.6660 8.4265 Å, 102.56 102.56 90.00°
Element x y z (fractional)
Te 0.3515 0.3515 0.7031
Te 0.6485 0.6485 0.2969
Co 0.2500 0.7500 0.5000
Co 0.7500 0.2500 0.5000
Hg 0.0000 0.0000 0.0000

No. 6
Density functional theory data (SCAN) for a crystal of U2Te2PO relaxed with PBEsol.

Results
**Volume**: 247.3 Å³/cell
**Raw total energy**: -51.0458 eV per atom
**Energy relative to the elements, uncorrected**: -1348 meV/atom
**SG**: I4/mmm (139)

Cell: 3.9618 3.9617 16.0037 Å, 97.11 97.11 90.00°
Site moments in Bohr magnetons follow the coordinates.
Element x y z (fractional)
P 0.0098 0.4446 0.0000  -0.07
P 0.5098 0.9446 0.0000  -0.07
Te 0.1733 0.1093 0.3275  -0.15
Te 0.8457 0.7818 0.6725  -0.15
Te 0.4105 0.3457 0.8017  -0.14
Te 0.6088 0.5441 0.1983  -0.14
U 0.2971 0.2334 0.5753  2.21
U 0.7218 0.6581 0.4247  2.21
U 0.0680 0.0030 0.1165  1.72
U 0.9515 0.8865 0.8835  1.72
O 0.2595 0.6957 0.5000  -0.11
O 0.7595 0.1957 0.5000  -0.11

Q: Which of these has the lowest volume?
A: ScAsRh

Repeat the sixth record exactly.
Density functional theory data (SCAN) for a crystal of U2Te2PO relaxed with PBEsol.

Results
**Volume**: 247.3 Å³/cell
**Raw total energy**: -51.0458 eV per atom
**Energy relative to the elements, uncorrected**: -1348 meV/atom
**SG**: I4/mmm (139)

Cell: 3.9618 3.9617 16.0037 Å, 97.11 97.11 90.00°
Site moments in Bohr magnetons follow the coordinates.
Element x y z (fractional)
P 0.0098 0.4446 0.0000  -0.07
P 0.5098 0.9446 0.0000  -0.07
Te 0.1733 0.1093 0.3275  -0.15
Te 0.8457 0.7818 0.6725  -0.15
Te 0.4105 0.3457 0.8017  -0.14
Te 0.6088 0.5441 0.1983  -0.14
U 0.2971 0.2334 0.5753  2.21
U 0.7218 0.6581 0.4247  2.21
U 0.0680 0.0030 0.1165  1.72
U 0.9515 0.8865 0.8835  1.72
O 0.2595 0.6957 0.5000  -0.11
O 0.7595 0.1957 0.5000  -0.11

Q: Which value of volume does entry 4 give?
A: 67.2 Å³/cell